{"formula": "NdZn2SiNi2", "functional": "PBE", "state": "optimized geometry", "mass_density_kg_m3": 6667, "formation_energy_uncorrected_kj_per_mol_fu": -178, "lattice": [[4.295, 0.000, 0.000], [0.000, 4.295, 0.000], [0.000, 0.000, 5.678]], "species": ["Nd", "Zn", "Zn", "Si", "Ni", "Ni"], "frac_coords": [[0.000, 0.000, 0.000], [0.500, 0.500, 0.242], [0.500, 0.500, 0.758], [0.000, 0.000, 0.500], [0.000, 0.500, 0.500], [0.500, 0.000, 0.500]]}